YTiCo2Cu, relaxed, DFT PBE-GGA; size of the total moment = 0.3614 μB/atom; formation enthalpy at 0 K = 1.78 eV/atom; Fermi-level density of states = 7.40 states/eV/cell; crystal system = tetragonal; total energy = -23.761 eV per formula unit; symmetry = P4/mmm (123)
1.0
-1.174 -4.392 0.395
4.367 -1.102 0.730
-0.652 0.608 4.813
Co Y Cu Ti
2 1 1 1
Cartesian
-0.587 -2.196 0.198
2.184 -0.551 0.365
0.000 0.000 0.000
1.271 -2.443 2.970
-0.326 0.304 2.407